# 1
## Pm4CN2O (PBE-GGA)

Data for a relaxed structure of Pm4CN2O.

```
data_Pm4CN2O
_cell_length_a 6.2778
_cell_length_b 3.6283
_cell_length_c 6.2910
_cell_angle_alpha 90.00
_cell_angle_beta 109.39
_cell_angle_gamma 90.00
_space_group_name_H-M_alt 'P 1 2/m 1'
_space_group_IT_number 10
loop_
_space_group_symop_operation_xyz
'x,y,z'
'-x,-y,-z'
'-x,y,-z'
'x,-y,z'
loop_
_atom_site_label
_atom_site_type_symbol
_atom_site_fract_x
_atom_site_fract_y
_atom_site_fract_z
Pm1 Pm 0.2439 0.0000 0.2437
Pm2 Pm 0.2513 0.5000 0.7528
C1 C 0.0000 0.0000 0.5000
N1 N 0.0000 0.5000 0.0000
N2 N 0.5000 0.0000 0.0000
O1 O 0.5000 0.5000 0.5000
```

Calculated values
- Final energy: -61.684 eV for the cell shown
- Uncorrected formation energy: -1481.0 meV per atom

---

# 2
## Pm6C2NO2 (PBE-GGA)

Data for a relaxed structure of Pm6C2NO2.

```
data_Pm6C2NO2
_cell_length_a 6.3647
_cell_length_b 10.9433
_cell_length_c 6.3126
_cell_angle_alpha 90.00
_cell_angle_beta 110.06
_cell_angle_gamma 90.00
_space_group_name_H-M_alt 'C 1 2/m 1'
_space_group_IT_number 12
loop_
_space_group_symop_operation_xyz
'x,y,z'
'-x,-y,-z'
'-x,y,-z'
'x,-y,z'
'x+1/2,y+1/2,z'
'-x+1/2,-y+1/2,-z'
'-x+1/2,y+1/2,-z'
'x+1/2,-y+1/2,z'
loop_
_atom_site_label
_atom_site_type_symbol
_atom_site_fract_x
_atom_site_fract_y
_atom_site_fract_z
Pm1 Pm 0.2359 0.0000 0.2690
Pm2 Pm 0.2407 0.1733 0.7438
C1 C 0.0000 0.3308 0.5000
N1 N 0.0000 0.0000 0.5000
O1 O 0.0000 0.1678 0.0000
```

Calculated values
- Final energy: -161.161 eV for the cell shown
- Uncorrected formation energy: -1398.8 meV per atom

---

# 3
## Pm4CNO2 (PBE-GGA)

Data for a relaxed structure of Pm4CNO2.

```
data_Pm4CNO2
_cell_length_a 5.1102
_cell_length_b 5.1102
_cell_length_c 10.1619
_cell_angle_alpha 90.00
_cell_angle_beta 90.00
_cell_angle_gamma 90.00
_space_group_name_H-M_alt 'I 4/m m m'
_space_group_IT_number 139
_space_group_name_Hall '-I 4 2'
loop_
_atom_site_label
_atom_site_type_symbol
_atom_site_fract_x
_atom_site_fract_y
_atom_site_fract_z
Pm1 Pm 0.0000 0.0000 0.2475
Pm2 Pm 0.0000 0.5000 0.0000
C1 C 0.0000 0.0000 0.5000
N1 N 0.0000 0.0000 0.0000
O1 O 0.0000 0.5000 0.2500
```

Calculated values
- Final energy: -122.665 eV for the cell shown
- Uncorrected formation energy: -1858.1 meV per atom

---

# 4
## Pr6CN2O2 (PBE-GGA)

Data for a relaxed structure of Pr6CN2O2.

```
data_Pr6CN2O2
_cell_length_a 6.3917
_cell_length_b 11.1057
_cell_length_c 6.4077
_cell_angle_alpha 90.00
_cell_angle_beta 109.10
_cell_angle_gamma 90.00
_space_group_name_H-M_alt 'C 1 2/m 1'
_space_group_IT_number 12
loop_
_space_group_symop_operation_xyz
'x,y,z'
'-x,-y,-z'
'-x,y,-z'
'x,-y,z'
'x+1/2,y+1/2,z'
'-x+1/2,-y+1/2,-z'
'-x+1/2,y+1/2,-z'
'x+1/2,-y+1/2,z'
loop_
_atom_site_label
_atom_site_type_symbol
_atom_site_fract_x
_atom_site_fract_y
_atom_site_fract_z
Pr1 Pr 0.2388 0.1749 0.2409
Pr2 Pr 0.2445 0.0000 0.7643
C1 C 0.0000 0.0000 0.0000
N1 N 0.0000 0.3297 0.0000
O1 O 0.0000 0.1626 0.5000
```

Calculated values
- Final energy: -162.446 eV for the cell shown
- Uncorrected formation energy: -1523.2 meV per atom

---

# 5
## Pr4CNO2 (PBE-GGA)

Data for a relaxed structure of Pr4CNO2.

```
data_Pr4CNO2
_cell_length_a 5.2142
_cell_length_b 5.2142
_cell_length_c 10.3750
_cell_angle_alpha 90.00
_cell_angle_beta 90.00
_cell_angle_gamma 90.00
_space_group_name_H-M_alt 'I 4/m m m'
_space_group_IT_number 139
_space_group_name_Hall '-I 4 2'
loop_
_atom_site_label
_atom_site_type_symbol
_atom_site_fract_x
_atom_site_fract_y
_atom_site_fract_z
Pr1 Pr 0.0000 0.0000 0.2470
Pr2 Pr 0.0000 0.5000 0.0000
C1 C 0.0000 0.0000 0.5000
N1 N 0.0000 0.0000 0.0000
O1 O 0.0000 0.5000 0.2500
```

Calculated values
- Final energy: -121.094 eV for the cell shown
- Uncorrected formation energy: -1745.4 meV per atom

---

# 6
## Pr2CN2O2 (PBE-GGA)

Data for a relaxed structure of Pr2CN2O2.

```
data_Pr2CN2O2
_cell_length_a 3.9608
_cell_length_b 3.9608
_cell_length_c 8.4076
_cell_angle_alpha 90.00
_cell_angle_beta 90.00
_cell_angle_gamma 120.00
_space_group_name_H-M_alt 'P -3 m 1'
_space_group_IT_number 164
_space_group_name_Hall '-P 3 2"'
loop_
_atom_site_label
_atom_site_type_symbol
_atom_site_fract_x
_atom_site_fract_y
_atom_site_fract_z
Pr1 Pr 0.3333 0.6667 0.1811
C1 C 0.0000 0.0000 0.5000
N1 N 0.0000 0.0000 0.3528
O1 O 0.3333 0.6667 0.8963
```

Calculated values
- Final energy: -59.700 eV for the cell shown
- Uncorrected formation energy: -2050.0 meV per atom

---

# 7
## Pr4CN2O (PBE-GGA)

Data for a relaxed structure of Pr4CN2O.

```
data_Pr4CN2O
_cell_length_a 5.2275
_cell_length_b 5.2275
_cell_length_c 10.4931
_cell_angle_alpha 90.00
_cell_angle_beta 90.00
_cell_angle_gamma 90.00
_space_group_name_H-M_alt 'I -4 m 2'
_space_group_IT_number 119
_space_group_name_Hall 'I -4 -2'
loop_
_atom_site_label
_atom_site_type_symbol
_atom_site_fract_x
_atom_site_fract_y
_atom_site_fract_z
Pr1 Pr 0.0000 0.0000 0.2462
Pr2 Pr 0.0000 0.5000 0.0040
C1 C 0.0000 0.0000 0.5000
N1 N 0.0000 0.0000 0.0000
N2 N 0.0000 0.5000 0.2500
O1 O 0.0000 0.5000 0.7500
```

Calculated values
- Final energy: -121.676 eV for the cell shown
- Uncorrected formation energy: -1360.9 meV per atom

---

# 8
## Pr2SiCN2O4 (PBE-GGA)

Data for a relaxed structure of Pr2SiCN2O4.

```
data_Pr2SiCN2O4
_cell_length_a 6.5255
_cell_length_b 6.7966
_cell_length_c 6.8339
_cell_angle_alpha 87.30
_cell_angle_beta 73.21
_cell_angle_gamma 74.05
_space_group_name_H-M_alt 'P -1'
_space_group_IT_number 2
loop_
_space_group_symop_operation_xyz
'x,y,z'
'-x,-y,-z'
loop_
_atom_site_label
_atom_site_type_symbol
_atom_site_fract_x
_atom_site_fract_y
_atom_site_fract_z
Pr1 Pr 0.0467 0.1741 0.2193
Pr2 Pr 0.4360 0.2665 0.6713
Si1 Si 0.4557 0.8022 0.8122
C1 C 0.0623 0.6753 0.3089
N1 N 0.0251 0.4403 0.7498
N2 N 0.1413 0.7976 0.3719
O1 O 0.2207 0.9865 0.8859
O2 O 0.3653 0.1084 0.3715
O3 O 0.3871 0.6342 0.6945
O4 O 0.4121 0.2688 0.0186
```

Calculated values
- Final energy: -167.716 eV for the cell shown
- Uncorrected formation energy: -2316.8 meV per atom

---

# 9
## PtCNO2 (PBE-GGA)

Data for a relaxed structure of PtCNO2.

```
data_PtCNO2
_cell_length_a 3.4404
_cell_length_b 3.4404
_cell_length_c 3.5191
_cell_angle_alpha 90.00
_cell_angle_beta 90.00
_cell_angle_gamma 90.00
_space_group_name_H-M_alt 'P 4/m m m'
_space_group_IT_number 123
_space_group_name_Hall '-P 4 2'
loop_
_atom_site_label
_atom_site_type_symbol
_atom_site_fract_x
_atom_site_fract_y
_atom_site_fract_z
Pt1 Pt 0.0000 0.0000 0.0000
C1 C 0.5000 0.5000 0.5000
N1 N 0.5000 0.5000 0.0000
O1 O 0.0000 0.5000 0.5000
```

Calculated values
- Final energy: -24.915 eV for the cell shown
- Uncorrected formation energy: 1718.4 meV per atom

---

# 10
## PtCNO2 (PBE-GGA)

Data for a relaxed structure of PtCNO2.

```
data_PtCNO2
_cell_length_a 4.0835
_cell_length_b 4.0835
_cell_length_c 3.6732
_cell_angle_alpha 90.00
_cell_angle_beta 90.00
_cell_angle_gamma 90.00
_space_group_name_H-M_alt 'P 4/m m m'
_space_group_IT_number 123
_space_group_name_Hall '-P 4 2'
loop_
_atom_site_label
_atom_site_type_symbol
_atom_site_fract_x
_atom_site_fract_y
_atom_site_fract_z
Pt1 Pt 0.0000 0.0000 0.0000
C1 C 0.5000 0.5000 0.5000
N1 N 0.0000 0.0000 0.5000
O1 O 0.0000 0.5000 0.0000
```

Calculated values
- Final energy: -23.449 eV for the cell shown
- Uncorrected formation energy: 2011.6 meV per atom

---

# 11
## Pu6C2N3O (PBE-GGA)

Data for a relaxed structure of Pu6C2N3O.

```
data_Pu6C2N3O
_cell_length_a 14.5468
_cell_length_b 3.2961
_cell_length_c 6.8907
_cell_angle_alpha 90.00
_cell_angle_beta 95.97
_cell_angle_gamma 90.00
_space_group_name_H-M_alt 'C 1 2/m 1'
_space_group_IT_number 12
loop_
_space_group_symop_operation_xyz
'x,y,z'
'-x,-y,-z'
'-x,y,-z'
'x,-y,z'
'x+1/2,y+1/2,z'
'-x+1/2,-y+1/2,-z'
'-x+1/2,y+1/2,-z'
'x+1/2,-y+1/2,z'
loop_
_atom_site_label
_atom_site_type_symbol
_atom_site_fract_x
_atom_site_fract_y
_atom_site_fract_z
Pu1 Pu 0.0013 0.0000 0.2463
Pu2 Pu 0.1949 0.5000 0.0459
Pu3 Pu 0.1966 0.5000 0.5475
C1 C 0.1564 0.0000 0.7687
N1 N 0.0000 0.5000 0.0000
N2 N 0.1541 0.0000 0.2627
O1 O 0.0000 0.5000 0.5000
```

Calculated values
- Final energy: -286.138 eV for the cell shown
- Uncorrected formation energy: -724.6 meV per atom

---

# 12
## Pu4CN2O (PBE-GGA)

Data for a relaxed structure of Pu4CN2O.

```
data_Pu4CN2O
_cell_length_a 6.0673
_cell_length_b 3.5164
_cell_length_c 6.0910
_cell_angle_alpha 90.00
_cell_angle_beta 109.45
_cell_angle_gamma 90.00
_space_group_name_H-M_alt 'P 1 2/m 1'
_space_group_IT_number 10
loop_
_space_group_symop_operation_xyz
'x,y,z'
'-x,-y,-z'
'-x,y,-z'
'x,-y,z'
loop_
_atom_site_label
_atom_site_type_symbol
_atom_site_fract_x
_atom_site_fract_y
_atom_site_fract_z
Pu1 Pu 0.2481 0.0000 0.2455
Pu2 Pu 0.2514 0.5000 0.7537
C1 C 0.0000 0.0000 0.5000
N1 N 0.0000 0.5000 0.0000
N2 N 0.5000 0.0000 0.0000
O1 O 0.5000 0.5000 0.5000
```

Calculated values
- Final energy: -98.264 eV for the cell shown
- Uncorrected formation energy: -1262.9 meV per atom